The following is a PBE calculation of a relaxed structure of PrSmEuEr, from the Alexandria database.

N(E_F) ... 6.43 states/eV/f.u.
ΔE_f ... 136 meV/atom
Total magnetization ... 7.7 μB/f.u.

a = 8.245 Å, b = 8.245 Å, c = 8.245 Å
α = 90.00°, β = 90.00°, γ = 90.00°
Space group F-43m (No. 216)
Inequivalent atoms, fractional coordinates:
Pr 0.000 0.000 0.000 (multiplicity 4)
Sm 0.000 0.000 0.500 (multiplicity 4)
Eu 0.250 0.250 0.250 (multiplicity 4)
Er 0.250 0.250 0.750 (multiplicity 4)


The following is a PBE calculation of a relaxed structure of SrPrEuEr, from the Alexandria database.

N(E_F) ... 5.82 states/eV/f.u.
ΔE_f ... 193 meV/atom
Total magnetization ... 7.3 μB/f.u.

a = 8.544 Å, b = 8.544 Å, c = 8.544 Å
α = 90.00°, β = 90.00°, γ = 90.00°
Space group F-43m (No. 216)
Inequivalent atoms, fractional coordinates:
Sr 0.000 0.000 0.000 (multiplicity 4)
Pr 0.250 0.250 0.250 (multiplicity 4)
Eu 0.250 0.250 0.750 (multiplicity 4)
Er 0.000 0.000 0.500 (multiplicity 4)


The following is a PBE calculation of a relaxed structure of TbPrEuEr, from the Alexandria database.

N(E_F) ... 6.68 states/eV/f.u.
ΔE_f ... 146 meV/atom
Total magnetization ... 7.9 μB/f.u.

a = 8.207 Å, b = 8.207 Å, c = 8.207 Å
α = 90.00°, β = 90.00°, γ = 90.00°
Space group F-43m (No. 216)
Inequivalent atoms, fractional coordinates:
Tb 0.000 0.000 0.000 (multiplicity 4)
Pr 0.000 0.000 0.500 (multiplicity 4)
Eu 0.250 0.250 0.250 (multiplicity 4)
Er 0.250 0.250 0.750 (multiplicity 4)


The following is a PBE calculation of a relaxed structure of PrEuErTh, from the Alexandria database.

N(E_F) ... 7.06 states/eV/f.u.
ΔE_f ... 206 meV/atom
Total magnetization ... 7.8 μB/f.u.

a = 8.182 Å, b = 8.182 Å, c = 8.182 Å
α = 90.00°, β = 90.00°, γ = 90.00°
Space group F-43m (No. 216)
Inequivalent atoms, fractional coordinates:
Pr 0.000 0.000 0.000 (multiplicity 4)
Eu 0.250 0.250 0.250 (multiplicity 4)
Er 0.250 0.250 0.750 (multiplicity 4)
Th 0.000 0.000 0.500 (multiplicity 4)


The following is a PBE calculation of a relaxed structure of PrEuErTl, from the Alexandria database.

N(E_F) ... 6.26 states/eV/f.u.
ΔE_f ... -43 meV/atom
Total magnetization ... 7.7 μB/f.u.

a = 7.910 Å, b = 7.910 Å, c = 7.910 Å
α = 90.00°, β = 90.00°, γ = 90.00°
Space group F-43m (No. 216)
Inequivalent atoms, fractional coordinates:
Pr 0.000 0.000 0.000 (multiplicity 4)
Eu 0.250 0.250 0.250 (multiplicity 4)
Er 0.000 0.000 0.500 (multiplicity 4)
Tl 0.250 0.250 0.750 (multiplicity 4)


The following is a PBE calculation of a relaxed structure of EuEr3Pt, from the Alexandria database.

N(E_F) ... 6.38 states/eV/f.u.
ΔE_f ... -432 meV/atom
Total magnetization ... 7.5 μB/f.u.

a = 5.485 Å, b = 5.485 Å, c = 5.485 Å
α = 90.00°, β = 90.00°, γ = 90.00°
Space group Pm-3m (No. 221)
Inequivalent atoms, fractional coordinates:
Eu 0.000 0.000 0.000 (multiplicity 1)
Er 0.000 0.500 0.500 (multiplicity 3)
Pt 0.500 0.500 0.500 (multiplicity 1)